Compound: FeBOF2
Source: Alexandria
Functional: PBE with a Hubbard U
Structure: relaxed

## Properties
For the spin magnetization, the calculation gives 3.22 μB per formula unit. Its space group is P4/mmm (123). Its density of states at the Fermi level is 1.020 states/eV/cell. The calculation puts the total energy at -5.500 eV per atom.

a b c (Å): 4.2632 4.2632 2.6548
angles (deg): 90.00 90.00 90.00
Site moments in Bohr magnetons follow the coordinates.
Fractional positions:
B  0.0000  0.0000  0.0000  -0.06
Fe  0.5000  0.5000  0.5000  3.16
O  0.0000  0.0000  0.5000  0.02
F  0.0000  0.5000  0.0000  0.02
F  0.5000  0.0000  0.0000  0.02


Compound: RbFe2BF
Source: Alexandria
Functional: PBE with a Hubbard U
Structure: relaxed

## Properties
For the spin magnetization, the calculation gives 5.78 μB per formula unit. Its space group is P4/mmm (123). Its density of states at the Fermi level is 3.387 states/eV/cell. The calculation puts the total energy at -4.108 eV per atom.

a b c (Å): 3.9825 7.7472 3.9825
angles (deg): 90.00 90.00 90.00
Site moments in Bohr magnetons follow the coordinates.
Fractional positions:
B  0.0000  0.0000  0.0000  -0.41
Fe  0.0000  0.0000  0.5000  3.22
Fe  0.5000  0.0000  0.0000  3.25
Rb  0.0000  0.5000  0.0000  0.00
F  0.5000  0.5000  0.5000  0.00


Compound: RbFeB2F8
Source: Alexandria
Functional: PBE with a Hubbard U
Structure: relaxed

## Properties
For the spin magnetization, the calculation gives 3.00 μB per formula unit. Its space group is R-3 (148). The calculation puts the total energy at -5.522 eV per atom.

a b c (Å): 5.1262 5.1262 8.1980
angles (deg): 71.78 71.78 60.00
Site moments in Bohr magnetons follow the coordinates.
Fractional positions:
Rb  0.5000  0.5000  0.5000  0.00
Fe  0.0000  0.0000  0.0000  2.89
B  0.2548  0.2548  0.2357  0.00
B  0.7452  0.7452  0.7643  0.00
F  0.1927  0.1927  0.4220  0.00
F  0.5385  0.2704  0.1769  0.00
F  0.8073  0.8073  0.5780  0.00
F  0.0142  0.5385  0.1769  0.00
F  0.9858  0.4615  0.8231  0.00
F  0.2704  0.0142  0.1769  0.00
F  0.7296  0.9858  0.8231  0.00
F  0.4615  0.7296  0.8231  0.00


Compound: FeBRuF2
Source: Alexandria
Functional: PBE with a Hubbard U
Structure: relaxed

## Properties
For the spin magnetization, the calculation gives 4.67 μB per formula unit. Its space group is P4/mmm (123). Its density of states at the Fermi level is 2.584 states/eV/cell. The calculation puts the total energy at -4.676 eV per atom.

a b c (Å): 3.4384 5.3489 3.4384
angles (deg): 90.00 90.00 90.00
Site moments in Bohr magnetons follow the coordinates.
Fractional positions:
Ru  0.5000  0.5000  0.5000  1.47
B  0.0000  0.0000  0.0000  -0.21
Fe  0.0000  0.5000  0.0000  3.42
F  0.0000  0.0000  0.5000  -0.02
F  0.5000  0.0000  0.0000  -0.02


Compound: FeBSF2
Source: Alexandria
Functional: PBE with a Hubbard U
Structure: relaxed

## Properties
For the spin magnetization, the calculation gives 3.91 μB per formula unit. Its space group is P4/mmm (123). Its density of states at the Fermi level is 1.344 states/eV/cell. The calculation puts the total energy at -4.610 eV per atom.

a b c (Å): 3.6687 4.3745 3.6687
angles (deg): 90.00 90.00 90.00
Site moments in Bohr magnetons follow the coordinates.
Fractional positions:
S  0.0000  0.5000  0.0000  0.02
B  0.0000  0.0000  0.0000  -0.03
Fe  0.5000  0.5000  0.5000  3.75
F  0.0000  0.0000  0.5000  0.01
F  0.5000  0.0000  0.0000  0.01


Compound: TlFeB2F8
Source: Alexandria
Functional: PBE with a Hubbard U
Structure: relaxed

## Properties
For the spin magnetization, the calculation gives 3.00 μB per formula unit. Its space group is R-3 (148). Its density of states at the Fermi level is 0.432 states/eV/cell. The calculation puts the total energy at -5.450 eV per atom.

a b c (Å): 5.1268 5.1268 8.3011
angles (deg): 72.01 72.01 60.00
Site moments in Bohr magnetons follow the coordinates.
Fractional positions:
Tl  0.5000  0.5000  0.5000  0.00
Fe  0.0000  0.0000  0.0000  2.89
B  0.2558  0.2558  0.2326  0.00
B  0.7442  0.7442  0.7674  0.00
F  0.1944  0.1944  0.4168  0.00
F  0.5396  0.2700  0.1748  0.00
F  0.8056  0.8056  0.5832  0.00
F  0.0156  0.5396  0.1748  0.00
F  0.9844  0.4604  0.8252  0.00
F  0.2700  0.0156  0.1748  0.00
F  0.7300  0.9844  0.8252  0.00
F  0.4604  0.7300  0.8252  0.00


Compound: FeBWF2
Source: Alexandria
Functional: PBE with a Hubbard U
Structure: relaxed

## Properties
For the spin magnetization, the calculation gives 0.04 μB per formula unit. Its space group is P4/mmm (123). Its density of states at the Fermi level is 1.781 states/eV/cell. The calculation puts the total energy at -4.543 eV per atom.

a b c (Å): 4.0592 5.7505 4.0592
angles (deg): 90.00 90.00 90.00
Site moments in Bohr magnetons follow the coordinates.
Fractional positions:
B  0.5000  0.5000  0.5000  -0.16
Fe  0.0000  0.5000  0.0000  3.56
W  0.0000  0.0000  0.0000  -2.86
F  0.0000  0.0000  0.5000  -0.03
F  0.5000  0.0000  0.0000  -0.10